1.
The following is a PBE-GGA calculation of a geometry-optimized TbPrP2O8 structure, from the Alexandria database.

Results
formation energy without anion corrections = -2.899 eV per atom
symmetry = P-3m1

Lattice parameters (Å, degrees): 5.287 5.287 7.228 90.00 90.00 120.00
Element x y z (fractional)
1 Tb 0.000 0.000 0.000
2 Pr 0.000 0.000 0.500
3 P 0.333 0.667 0.295
4 P 0.667 0.333 0.705
5 O 0.174 0.348 0.221
6 O 0.174 0.826 0.221
7 O 0.333 0.667 0.507
8 O 0.348 0.174 0.779
9 O 0.652 0.826 0.221
10 O 0.667 0.333 0.493
11 O 0.826 0.174 0.779
12 O 0.826 0.652 0.779

2.
The following is a PBE-GGA calculation of a geometry-optimized PrTcPO structure, from the Alexandria database.

Results
formation energy without anion corrections = -1.851 eV per atom
symmetry = P4/nmm

Lattice parameters (Å, degrees): 4.072 4.072 8.476 90.00 90.00 90.00
Element x y z (fractional)
1 Pr 0.250 0.250 0.141
2 Pr 0.750 0.750 0.859
3 Tc 0.250 0.750 0.500
4 Tc 0.750 0.250 0.500
5 P 0.250 0.250 0.644
6 P 0.750 0.750 0.356
7 O 0.250 0.750 0.000
8 O 0.750 0.250 0.000

| no. | calculated volume (Å³ per cell) |
| --- | --- |
| 1 | 175 |
| 2 | 141 |